Version P
A relaxed structure of YBe2Ir, computed with PBE.

Structure (POSCAR):
```
YBe2Ir
1.0
-2.273 -2.704 -0.651
2.030 -1.995 1.197
-1.153 -0.330 5.396
Be Ir Y
2 1 1
direct
0.500 0.056 0.261 Be
0.000 0.154 0.068 Be
0.000 0.493 0.390 Ir
0.500 0.798 0.780 Y
```

Summary:
**N(E_F)**: 0.55 states/eV per atom
**Density**: 8.44 g/cm3
**Volume**: 14.7 Å³/atom
**M_tot**: 0.0 μB/cell
**SG**: No. 6

=====

Version Q
A relaxed structure of YBe2Ir, computed with PBE.

Structure (POSCAR):
```
YBe2Ir
1.0
2.982 0.000 0.000
0.000 2.982 0.000
0.000 0.000 6.504
Y Be Ir
1 2 1
direct
0.500 0.500 0.750 Y
0.000 0.000 0.424 Be
0.000 0.000 0.076 Be
0.500 0.500 0.250 Ir
```

Summary:
**N(E_F)**: 0.34 states/eV per atom
**Density**: 8.59 g/cm3
**Volume**: 14.5 Å³/atom
**M_tot**: 0.0 μB/cell
**SG**: No. 123

=====

The data favor version P; the next most stable structure lies 11 meV per atom above it.

=====

Version P
A relaxed structure of BeZn3Ir, computed with PBE.

Structure (POSCAR):
```
BeZn3Ir
1.0
-2.441 -1.499 -2.993
-2.115 -2.181 2.817
-2.595 3.188 0.520
Be Ir Zn
1 1 3
direct
0.000 0.000 0.000 Be
0.500 0.500 0.500 Ir
0.500 0.000 0.000 Zn
0.000 0.000 0.500 Zn
0.000 0.500 0.000 Zn
```

Summary:
**N(E_F)**: 0.54 states/eV per atom
**Density**: 9.28 g/cm3
**Volume**: 14.2 Å³/atom
**M_tot**: 0.0 μB/cell
**SG**: No. 221

=====

Version Q
A relaxed structure of BeZn3Ir, computed with PBE.

Structure (POSCAR):
```
BeZn3Ir
1.0
4.782 0.000 0.000
0.000 4.782 0.000
0.000 0.000 4.782
Zn Be Ir
3 1 1
direct
0.500 0.000 0.000 Zn
0.000 0.500 0.000 Zn
0.000 0.000 0.500 Zn
0.500 0.500 0.500 Be
0.000 0.000 0.000 Ir
```

Summary:
**N(E_F)**: 0.40 states/eV per atom
**Density**: 6.04 g/cm3
**Volume**: 21.9 Å³/atom
**M_tot**: 0.0 μB/cell
**SG**: No. 221

=====

The data favor version P; the next most stable structure lies 145 meV per atom above it.

=====

Version P
A relaxed structure of BeZnIr2, computed with PBE.

Structure (POSCAR):
```
BeZnIr2
1.0
2.941 0.000 0.000
0.000 4.153 0.000
0.000 0.000 4.153
Ir Be Zn
2 1 1
direct
0.000 0.500 0.500 Ir
0.000 0.000 0.000 Ir
0.500 0.000 0.500 Be
0.500 0.500 0.000 Zn
```

Summary:
**N(E_F)**: 0.92 states/eV per atom
**Density**: 15.02 g/cm3
**Volume**: 12.7 Å³/atom
**M_tot**: 0.0 μB/cell
**SG**: No. 123

=====

Version Q
A relaxed structure of BeZnIr2, computed with PBE.

Structure (POSCAR):
```
BeZnIr2
1.0
-2.131 -2.700 -1.353
2.192 -1.686 -0.088
0.263 -2.558 4.689
Be Ir Zn
1 2 1
direct
0.500 0.750 0.750 Be
0.000 0.617 0.524 Ir
0.000 0.883 0.976 Ir
0.500 0.250 0.250 Zn
```

Summary:
**N(E_F)**: 0.34 states/eV per atom
**Density**: 14.61 g/cm3
**Volume**: 13.0 Å³/atom
**M_tot**: 0.0 μB/cell
**SG**: No. 10

=====

The data favor version Q; the next most stable structure lies 55 meV per atom above it.

=====

Version P
A relaxed structure of BeZnIr2, computed with PBE.

Structure (POSCAR):
```
BeZnIr2
1.0
-3.428 1.958 1.289
-2.297 2.161 -2.701
-3.741 -1.402 -1.132
Ir Be Zn
2 1 1
direct
0.750 0.750 0.750 Ir
0.250 0.250 0.250 Ir
0.000 0.000 0.000 Be
0.500 0.500 0.500 Zn
```

Summary:
**N(E_F)**: 0.78 states/eV per atom
**Density**: 15.05 g/cm3
**Volume**: 12.7 Å³/atom
**M_tot**: 0.0 μB/cell
**SG**: No. 225

=====

Version Q
A relaxed structure of BeZnIr2, computed with PBE.

Structure (POSCAR):
```
BeZnIr2
1.0
4.867 0.000 0.012
4.079 2.656 0.012
1.571 0.466 4.053
Ir Be Zn
2 1 1
direct
0.997 0.997 0.918 Ir
0.256 0.256 0.332 Ir
0.740 0.740 0.832 Be
0.507 0.507 0.418 Zn
```

Summary:
**N(E_F)**: 0.19 states/eV per atom
**Density**: 14.56 g/cm3
**Volume**: 13.1 Å³/atom
**M_tot**: 0.0 μB/cell
**SG**: No. 8

=====

Version R
A relaxed structure of BeZnIr2, computed with PBE.

Structure (POSCAR):
```
BeZnIr2
1.0
-1.207 1.095 -2.349
1.482 -1.835 -1.616
-4.641 -4.147 0.453
Ir Zn Be
2 1 1
direct
0.500 0.500 0.258 Ir
0.000 0.000 0.952 Ir
0.000 0.000 0.525 Zn
0.500 0.500 0.765 Be
```

Summary:
**N(E_F)**: 0.57 states/eV per atom
**Density**: 14.94 g/cm3
**Volume**: 12.8 Å³/atom
**M_tot**: 0.0 μB/cell
**SG**: No. 99

=====

Version S
A relaxed structure of BeZnIr2, computed with PBE.

Structure (POSCAR):
```
BeZnIr2
1.0
-1.161 4.286 -2.016
-3.595 -3.274 -0.376
-1.996 0.986 1.584
Ir Zn Be
2 1 1
direct
0.000 0.000 0.000 Ir
0.500 0.500 0.000 Ir
0.500 0.000 0.500 Zn
0.000 0.500 0.500 Be
```

Summary:
**N(E_F)**: 0.75 states/eV per atom
**Density**: 14.23 g/cm3
**Volume**: 13.4 Å³/atom
**M_tot**: 0.0 μB/cell
**SG**: No. 12

=====

The data favor version P; the next most stable structure lies 10 meV per atom above it.

=====

Version P
A relaxed structure of BeZnIr3, computed with PBE.

Structure (POSCAR):
```
BeZnIr3
1.0
-2.686 1.311 3.346
-3.423 -2.207 -1.882
1.096 -3.679 2.322
Ir Be Zn
3 1 1
direct
0.000 0.000 0.500 Ir
0.500 0.000 0.000 Ir
0.000 0.500 0.000 Ir
0.500 0.500 0.500 Be
0.000 0.000 0.000 Zn
```

Summary:
**N(E_F)**: 1.67 states/eV per atom
**Density**: 11.97 g/cm3
**Volume**: 18.1 Å³/atom
**M_tot**: 0.0 μB/cell
**SG**: No. 221

=====

Version Q
A relaxed structure of BeZnIr3, computed with PBE.

Structure (POSCAR):
```
BeZnIr3
1.0
4.136 0.000 0.000
0.000 4.136 0.000
0.000 0.000 4.136
Ir Be Zn
3 1 1
direct
0.000 0.000 0.500 Ir
0.500 0.000 0.000 Ir
0.000 0.500 0.000 Ir
0.000 0.000 0.000 Be
0.500 0.500 0.500 Zn
```

Summary:
**N(E_F)**: 0.95 states/eV per atom
**Density**: 15.28 g/cm3
**Volume**: 14.1 Å³/atom
**M_tot**: 0.0 μB/cell
**SG**: No. 221

=====

The data favor version Q; the next most stable structure lies 1437 meV per atom above it.

=====

Version P
A relaxed structure of ZrBe2Ir, computed with PBE.

Structure (POSCAR):
```
ZrBe2Ir
1.0
3.914 -0.021 0.013
1.965 3.385 0.013
1.916 1.096 4.440
Be Zr Ir
2 1 1
direct
0.047 0.047 0.859 Be
0.763 0.763 0.713 Be
0.244 0.244 0.269 Zr
0.447 0.447 0.659 Ir
```

Summary:
**N(E_F)**: 0.63 states/eV per atom
**Density**: 8.50 g/cm3
**Volume**: 14.7 Å³/atom
**M_tot**: 0.0 μB/cell
**SG**: No. 8

=====

Version Q
A relaxed structure of ZrBe2Ir, computed with PBE.

Structure (POSCAR):
```
ZrBe2Ir
1.0
8.120 -0.052 -0.030
7.626 2.789 -0.030
7.626 1.326 2.454
Be Ir Zr
2 1 1
direct
0.514 0.514 0.514 Be
0.986 0.986 0.986 Be
0.250 0.250 0.250 Ir
0.750 0.750 0.750 Zr
```

Summary:
**N(E_F)**: 0.67 states/eV per atom
**Density**: 8.75 g/cm3
**Volume**: 14.3 Å³/atom
**M_tot**: 0.0 μB/cell
**SG**: No. 166

=====

The data favor version P; the next most stable structure lies 428 meV per atom above it.